Entry from the Alexandria database: a relaxed YZr3Pb crystal (PBE).

The structure in POSCAR format:
```
YZr3Pb
1.0
-2.3647 1.5086 4.4247
-4.6488 -1.2807 -2.0479
0.4920 -4.8507 1.9168
Zr Y Pb
3 1 1
Cartesian
-2.3244 -0.6403 -1.0239 Zr
-1.1824 0.7543 2.2123 Zr
0.2460 -2.4254 0.9584 Zr
0.0000 0.0000 0.0000 Y
-3.2608 -2.3114 2.1468 Pb
```

Output
symmetry: Pm-3m



Entry from the Alexandria database: a relaxed Y2ZrPb crystal (PBE).

The structure in POSCAR format:
```
Y2ZrPb
1.0
10.8266 -0.0037 -0.0022
10.2580 3.4626 -0.0022
10.2580 1.6828 3.0262
Y Zr Pb
2 1 1
Cartesian
15.7011 2.5758 1.5138 Y
31.3127 5.1369 3.0190 Y
7.8356 1.2854 0.7555 Zr
23.5069 3.8563 2.2664 Pb
```

Output
symmetry: R-3m



Entry from the Alexandria database: a relaxed Y2ZrPb crystal (PBE).

The structure in POSCAR format:
```
Y2ZrPb
1.0
5.8148 0.0394 0.0000
-1.8731 5.5050 0.0000
0.0000 0.0000 3.3977
Y Zr Pb
2 1 1
Cartesian
1.9709 2.7722 0.0000 Y
0.0000 0.0000 0.0000 Y
2.9074 0.0197 1.6988 Zr
-0.9365 2.7525 1.6988 Pb
```

Output
symmetry: Cmmm



Entry from the Alexandria database: a relaxed YZr2Pb crystal (PBE).

The structure in POSCAR format:
```
YZr2Pb
1.0
5.9107 -0.0115 0.0000
2.5220 5.3456 0.0000
-4.2163 -2.6671 3.1695
Zr Y Pb
2 1 1
Cartesian
4.2163 2.6671 0.0000 Zr
0.0000 0.0000 0.0000 Zr
2.9553 -0.0058 1.5847 Y
1.2610 2.6728 1.5847 Pb
```

Output
symmetry: I4/mmm



Entry from the Alexandria database: a relaxed YZr2Pb crystal (PBE).

The structure in POSCAR format:
```
YZr2Pb
1.0
-8.0267 -1.4386 2.2171
0.3665 -7.6265 -3.6214
-2.8862 -5.7383 1.9327
Zr Y Pb
4 2 2
Cartesian
-1.3164 -6.3488 -1.5526 Zr
-8.8591 -12.4061 0.1398 Zr
-5.0454 -7.5327 1.0038 Zr
-5.8718 -3.3191 1.4657 Zr
-3.1748 -8.9487 -1.1954 Y
-3.8301 -4.5325 -0.7021 Y
-7.3715 -5.8547 1.7238 Pb
0.0000 0.0000 0.0000 Pb
```

Output
symmetry: I-42d



Entry from the Alexandria database: a relaxed Yb3Pb crystal (PBE).

The structure in POSCAR format:
```
Yb3Pb
1.0
4.9952 0.0000 0.0000
0.0000 4.9952 0.0000
0.0000 0.0000 4.9952
Yb Pb
3 1
Cartesian
2.4976 0.0000 2.4976 Yb
2.4976 2.4976 0.0000 Yb
0.0000 2.4976 2.4976 Yb
0.0000 0.0000 0.0000 Pb
```

Output
symmetry: Pm-3m



no.,DFT formation energy (eV per atom),total magnetization (μB/f.u.)
1,1.2437,1.26
2,-0.1103,0.00
3,-0.1206,0.00
4,-0.1485,0.00
5,0.2999,0.00
6,-0.3796,0.00